(1)
DFT (SCAN) results for a PBEsol-optimized structure of Li2ScAs.

## Properties
* energy of formation: -2.847 eV per formula unit
* crystal system: tetragonal

abc: 3.8712 3.8712 4.5401
angles: 90.00 90.00 90.00
Fractional coordinates of all 4 atoms:
1 Li 0.0000 0.5000 0.0000
2 Li 0.5000 0.0000 0.0000
3 As 0.0000 0.0000 0.5000
4 Sc 0.5000 0.5000 0.5000

=====

(2)
DFT (SCAN) results for a PBEsol-optimized structure of Li2ScAs2.

## Properties
* energy of formation: -3.537 eV per formula unit
* crystal system: tetragonal

abc: 2.9889 7.5248 7.5248
angles: 90.00 90.00 90.00
Fractional coordinates of all 10 atoms:
1 Li 0.5000 0.6213 0.8787
2 Li 0.5000 0.3787 0.1213
3 Li 0.5000 0.1213 0.6213
4 Li 0.5000 0.8787 0.3787
5 Sc 0.0000 0.0000 0.0000
6 Sc 0.0000 0.5000 0.5000
7 As 0.0000 0.6778 0.1778
8 As 0.0000 0.3222 0.8222
9 As 0.0000 0.8222 0.6778
10 As 0.0000 0.1778 0.3222

=====

(3)
DFT (SCAN) results for a PBEsol-optimized structure of LiScAs2.

## Properties
* energy of formation: -3.507 eV per formula unit
* crystal system: monoclinic

abc: 3.7730 4.0029 5.3060
angles: 106.22 110.83 90.00
Fractional coordinates of all 4 atoms:
1 Sc 0.2609 0.8322 0.5218
2 As 0.7539 0.3426 0.5079
3 As 0.9784 0.8744 0.9568
4 Li 0.5067 0.4508 0.0135

=====

(4)
DFT (SCAN) results for a PBEsol-optimized structure of LiScAs2.

## Properties
* energy of formation: -3.011 eV per formula unit
* crystal system: tetragonal

abc: 2.8890 4.9204 4.9204
angles: 90.00 90.00 90.00
Last column: magnetic moment on the atom in μB.
Fractional coordinates of all 4 atoms:
1 As 0.8724 0.0000 0.5000  -0.01
2 As 0.8724 0.5000 0.0000  -0.01
3 Sc 0.3727 0.5000 0.5000  0.23
4 Li 0.3724 0.0000 0.0000  0.00

=====

(5)
DFT (SCAN) results for a PBEsol-optimized structure of LiSc3As.

## Properties
* energy of formation: -1.211 eV per formula unit
* crystal system: cubic

abc: 5.0731 5.0731 5.0731
angles: 90.00 90.00 90.00
Last column: magnetic moment on the atom in μB.
Fractional coordinates of all 5 atoms:
1 Sc 0.0000 0.5000 0.0000  0.38
2 Sc 0.0000 0.0000 0.5000  0.38
3 Sc 0.5000 0.0000 0.0000  0.38
4 Li 0.5000 0.5000 0.5000  0.01
5 As 0.0000 0.0000 0.0000  -0.05

=====

(6)
DFT (SCAN) results for a PBEsol-optimized structure of Li2ScAs.

## Properties
* energy of formation: -2.126 eV per formula unit
* crystal system: orthorhombic

abc: 3.4125 4.1607 6.0246
angles: 110.20 106.45 90.00
Fractional coordinates of all 4 atoms:
1 Li 0.2054 0.2054 0.4107
2 Li 0.7946 0.7946 0.5893
3 As 0.5000 0.0000 0.0000
4 Sc 0.0000 0.5000 0.0000

=====

(7)
DFT (SCAN) results for a PBEsol-optimized structure of LiAsSe2.

## Properties
* crystal system: orthorhombic
* E_form (uncorrected): -0.204 eV per atom

abc: 3.8191 5.0214 5.0214
angles: 68.95 67.65 67.65
Fractional coordinates of all 4 atoms:
1 As 0.5000 0.0000 0.0000
2 Se 0.2454 0.7546 0.7546
3 Se 0.7546 0.2454 0.2454
4 Li 0.0000 0.5000 0.5000

=====

(8)
DFT (SCAN) results for a PBEsol-optimized structure of Li2AsSe.

## Properties
* crystal system: tetragonal
* E_form (uncorrected): -0.630 eV per atom

abc: 4.0970 4.1045 4.8648
angles: 114.95 114.90 90.00
Fractional coordinates of all 4 atoms:
1 As 0.0000 0.5000 0.0000
2 Li 0.2498 0.2498 0.4995
3 Li 0.7502 0.7502 0.5005
4 Se 0.5000 0.0000 0.0000

=====

(9)
DFT (SCAN) results for a PBEsol-optimized structure of LiAsSe2.

## Properties
* crystal system: monoclinic
* E_form (uncorrected): -0.595 eV per atom

abc: 3.7447 3.8726 6.3289
angles: 93.19 107.21 90.00
Fractional coordinates of all 4 atoms:
1 Li 0.7724 0.8644 0.5448
2 Se 0.2655 0.3578 0.5310
3 Se 0.0022 0.8577 0.0045
4 As 0.4599 0.4200 0.9197

=====

(10)
DFT (SCAN) results for a PBEsol-optimized structure of Li2AsSe.

## Properties
* crystal system: tetragonal
* E_form (uncorrected): -0.518 eV per atom

abc: 5.3595 5.7511 5.7511
angles: 77.46 62.23 62.23
Fractional coordinates of all 8 atoms:
1 As 0.5000 0.0000 0.0000
2 As 0.2500 0.5000 0.5000
3 Li 0.1023 0.0227 0.5227
4 Li 0.8750 0.4773 0.0227
5 Li 0.6477 0.9773 0.4773
6 Li 0.3750 0.5227 0.9773
7 Se 0.0000 0.0000 0.0000
8 Se 0.7500 0.5000 0.5000

=====

(11)
DFT (SCAN) results for a PBEsol-optimized structure of LiAsSe2.

## Properties
* crystal system: monoclinic
* E_form (uncorrected): -0.621 eV per atom

abc: 5.3775 5.4624 5.5961
angles: 93.10 90.00 90.00
Fractional coordinates of all 8 atoms:
1 As 0.7500 0.7884 0.4135
2 As 0.2500 0.2116 0.5865
3 Se 0.7500 0.7484 0.9940
4 Se 0.2500 0.7572 0.4970
5 Se 0.7500 0.2428 0.5030
6 Se 0.2500 0.2516 0.0060
7 Li 0.2500 0.7473 0.9982
8 Li 0.7500 0.2527 0.0018

=====

(12)
DFT (SCAN) results for a PBEsol-optimized structure of LiAsSe2.

## Properties
* crystal system: monoclinic
* E_form (uncorrected): -0.633 eV per atom

abc: 5.4045 5.4424 6.6872
angles: 111.18 113.83 90.00
Fractional coordinates of all 8 atoms:
1 Se 0.2710 0.5248 0.0267
2 Se 0.7557 0.0248 0.0267
3 Se 0.5234 0.2700 0.5271
4 Se 0.0037 0.7700 0.5271
5 Li 0.2454 0.0129 0.0099
6 Li 0.7645 0.5129 0.0099
7 As 0.9526 0.1861 0.4433
8 As 0.4907 0.6861 0.4433

=====

(13)
DFT (SCAN) results for a PBEsol-optimized structure of LiAs2Se.

## Properties
* crystal system: orthorhombic
* E_form (uncorrected): -0.080 eV per atom

abc: 2.7513 5.2813 5.2570
angles: 90.00 90.00 90.00
Fractional coordinates of all 4 atoms:
1 As 0.5000 0.2365 0.0000
2 As 0.5000 0.7635 0.0000
3 Li 0.0000 0.0000 0.5000
4 Se 0.5000 0.5000 0.5000

=====

(14)
DFT (SCAN) results for a PBEsol-optimized structure of LiAs2Se.

## Properties
* crystal system: tetragonal
* E_form (uncorrected): 0.033 eV per atom

abc: 4.4708 4.8417 4.4708
angles: 62.50 90.00 117.50
Fractional coordinates of all 4 atoms:
1 As 0.2500 0.5000 0.2500
2 As 0.0000 0.0000 0.0000
3 Se 0.7500 0.5000 0.7500
4 Li 0.5000 0.0000 0.5000

=====

(15)
DFT (SCAN) results for a PBEsol-optimized structure of LiAsSe2.

## Properties
* crystal system: trigonal
* E_form (uncorrected): -0.601 eV per atom

abc: 3.8070 3.8070 6.7164
angles: 73.54 73.54 60.00
Fractional coordinates of all 4 atoms:
1 Se 0.7477 0.7477 0.7568
2 Se 0.2523 0.2523 0.2432
3 Li 0.5000 0.5000 0.5000
4 As 0.0000 0.0000 0.0000

=====

(16)
DFT (SCAN) results for a PBEsol-optimized structure of LiAsSe2.

## Properties
* crystal system: tetragonal
* E_form (uncorrected): -0.533 eV per atom

abc: 3.8188 3.8188 5.2574
angles: 90.00 90.00 90.00
Fractional coordinates of all 4 atoms:
1 Li 0.0000 0.0000 0.5000
2 As 0.5000 0.5000 0.0000
3 Se 0.0000 0.0000 0.0000
4 Se 0.5000 0.5000 0.5000

=====

(17)
DFT (SCAN) results for a PBEsol-optimized structure of LiAs2Se.

## Properties
* crystal system: orthorhombic
* E_form (uncorrected): -0.032 eV per atom

abc: 3.1188 3.1188 8.0501
angles: 90.00 90.00 107.49
Fractional coordinates of all 4 atoms:
1 Li 0.0000 0.0000 0.4883
2 Se 0.5000 0.5000 0.2778
3 As 0.0000 0.0000 0.9770
4 As 0.5000 0.5000 0.7570

=====

(18)
DFT (SCAN) results for a PBEsol-optimized structure of LiTaAsSe2.

## Properties
* crystal system: tetragonal
* E_form (uncorrected): 0.644 eV per atom

abc: 4.8099 5.1813 5.1813
angles: 90.00 90.00 90.00
Last column: magnetic moment on the atom in μB.
Fractional coordinates of all 5 atoms:
1 Li 0.5000 0.5000 0.5000  0.01
2 As 0.0000 0.0000 0.0000  -0.06
3 Se 0.0000 0.5000 0.0000  -0.05
4 Se 0.0000 0.0000 0.5000  -0.05
5 Ta 0.5000 0.0000 0.0000  1.60

=====

(19)
DFT (SCAN) results for a PBEsol-optimized structure of LiTaAs2Se.

## Properties
* crystal system: tetragonal
* E_form (uncorrected): 0.797 eV per atom

abc: 4.3056 4.3056 4.7046
angles: 90.00 90.00 90.00
Last column: magnetic moment on the atom in μB.
Fractional coordinates of all 5 atoms:
1 As 0.5000 0.0000 0.0000  -0.07
2 As 0.0000 0.5000 0.0000  -0.07
3 Se 0.0000 0.0000 0.5000  -0.08
4 Ta 0.5000 0.5000 0.5000  1.20
5 Li 0.0000 0.0000 0.0000  0.01

=====

(20)
DFT (SCAN) results for a PBEsol-optimized structure of LiTiAsSe2.

## Properties
* crystal system: tetragonal
* E_form (uncorrected): -0.502 eV per atom

abc: 4.8727 4.9069 4.9069
angles: 90.00 90.00 90.00
Fractional coordinates of all 5 atoms:
1 As 0.5000 0.0000 0.0000
2 Se 0.0000 0.5000 0.0000
3 Se 0.0000 0.0000 0.5000
4 Ti 0.0000 0.0000 0.0000
5 Li 0.5000 0.5000 0.5000

=====

(21)
DFT (SCAN) results for a PBEsol-optimized structure of LiYAs2Se.

## Properties
* crystal system: tetragonal
* E_form (uncorrected): -0.401 eV per atom

abc: 4.4787 4.4787 4.8887
angles: 90.00 90.00 90.00
Fractional coordinates of all 5 atoms:
1 As 0.0000 0.5000 0.0000
2 As 0.5000 0.0000 0.0000
3 Li 0.0000 0.0000 0.0000
4 Y 0.5000 0.5000 0.5000
5 Se 0.0000 0.0000 0.5000

=====

(22)
DFT (SCAN) results for a PBEsol-optimized structure of LiZnAs2Se.

## Properties
* crystal system: tetragonal
* E_form (uncorrected): 0.545 eV per atom

abc: 4.4915 4.4915 4.6673
angles: 90.00 90.00 90.00
Fractional coordinates of all 5 atoms:
1 As 0.0000 0.5000 0.0000
2 As 0.5000 0.0000 0.0000
3 Se 0.0000 0.0000 0.5000
4 Li 0.0000 0.0000 0.0000
5 Zn 0.5000 0.5000 0.5000

=====

(23)
DFT (SCAN) results for a PBEsol-optimized structure of LiSi3As.

## Properties
* crystal system: cubic
* E_form (uncorrected): 1.024 eV per atom

abc: 4.7601 4.7601 4.7601
angles: 90.00 90.00 90.00
Fractional coordinates of all 5 atoms:
1 As 0.0000 0.0000 0.0000
2 Li 0.5000 0.5000 0.5000
3 Si 0.0000 0.5000 0.0000
4 Si 0.0000 0.0000 0.5000
5 Si 0.5000 0.0000 0.0000

=====

(24)
DFT (SCAN) results for a PBEsol-optimized structure of SrLi2SiAs.

## Properties
* crystal system: tetragonal
* E_form (uncorrected): 1.252 eV per atom

abc: 5.1967 5.1967 5.3696
angles: 90.00 90.00 90.00
Fractional coordinates of all 5 atoms:
1 Si 0.0000 0.0000 0.5000
2 As 0.5000 0.5000 0.5000
3 Li 0.5000 0.0000 0.0000
4 Li 0.0000 0.5000 0.0000
5 Sr 0.0000 0.0000 0.0000

=====

(25)
DFT (SCAN) results for a PBEsol-optimized structure of Li2SnAs2.

## Properties
* energy of formation: -1.595 eV per formula unit
* crystal system: tetragonal

abc: 4.2557 4.2557 6.0393
angles: 110.63 110.63 90.00
Fractional coordinates of all 5 atoms:
1 As 0.3851 0.3851 0.7703
2 As 0.6149 0.6149 0.2297
3 Li 0.2500 0.7500 0.5000
4 Li 0.7500 0.2500 0.5000
5 Sn 0.0000 0.0000 0.0000

=====

(26)
DFT (SCAN) results for a PBEsol-optimized structure of Li2SnAs2.

## Properties
* energy of formation: -1.992 eV per formula unit
* crystal system: tetragonal

abc: 2.8485 7.9735 7.9735
angles: 90.00 90.00 90.00
Fractional coordinates of all 10 atoms:
1 As 0.0000 0.8239 0.6761
2 As 0.0000 0.3239 0.8239
3 As 0.0000 0.6761 0.1761
4 As 0.0000 0.1761 0.3239
5 Li 0.5000 0.3795 0.1205
6 Li 0.5000 0.1205 0.6205
7 Li 0.5000 0.8795 0.3795
8 Li 0.5000 0.6205 0.8795
9 Sn 0.0000 0.5000 0.5000
10 Sn 0.0000 0.0000 0.0000

=====

(27)
DFT (SCAN) results for a PBEsol-optimized structure of SrLi3As.

## Properties
* energy of formation: -1.927 eV per formula unit
* crystal system: cubic

abc: 4.9259 4.9259 4.9259
angles: 90.00 90.00 90.00
Fractional coordinates of all 5 atoms:
1 Li 0.0000 0.5000 0.0000
2 Li 0.0000 0.0000 0.5000
3 Li 0.5000 0.0000 0.0000
4 As 0.0000 0.0000 0.0000
5 Sr 0.5000 0.5000 0.5000

=====

(28)
DFT (SCAN) results for a PBEsol-optimized structure of SrLi2As.

## Properties
* energy of formation: -2.621 eV per formula unit
* crystal system: trigonal

abc: 4.3003 4.3003 5.9918
angles: 68.97 68.97 60.00
Fractional coordinates of all 4 atoms:
1 Li 0.3013 0.3013 0.0961
2 Li 0.6987 0.6987 0.9039
3 As 0.0000 0.0000 0.0000
4 Sr 0.5000 0.5000 0.5000

=====

(29)
DFT (SCAN) results for a PBEsol-optimized structure of SrLi2As.

## Properties
* energy of formation: -3.097 eV per formula unit
* crystal system: trigonal

abc: 4.3788 4.3788 6.0265
angles: 68.70 68.70 60.00
Last column: magnetic moment on the atom in μB.
Fractional coordinates of all 4 atoms:
1 Li 0.9886 0.9886 0.0343  -0.01
2 Li 0.6990 0.6990 0.9029  -0.04
3 Sr 0.5099 0.5099 0.4704  -0.12
4 As 0.3067 0.3067 0.0799  -0.02

=====

| no. | ρ (Mg/m³) |
| --- | --- |
| 1 | 3.3 |
| 2 | 4.1 |
| 3 | 4.7 |
| 4 | 4.8 |
| 5 | 2.8 |
| 6 | 2.9 |
| 7 | 5.0 |
| 8 | 4.2 |
| 9 | 4.5 |
| 10 | 4.0 |
| 11 | 4.9 |
| 12 | 4.8 |
| 13 | 5.1 |
| 14 | 5.3 |
| 15 | 5.0 |
| 16 | 5.2 |
| 17 | 5.2 |
| 18 | 5.4 |
| 19 | 7.9 |
| 20 | 4.1 |
| 21 | 5.5 |
| 22 | 5.3 |
| 23 | 2.6 |
| 24 | 2.3 |
| 25 | 4.9 |
| 26 | 5.2 |
| 27 | 2.5 |
| 28 | 3.4 |
| 29 | 3.2 |